An optimized crystal structure of K2Cu3F8. Source: Alexandria, functional GGA-PBE. Values from VASP.

```
&SYSTEM
  ibrav = 0, nat = 13, ntyp = 3
/
ATOMIC_SPECIES
K 39.10 K.upf
F 19.00 F.upf
Cu 63.55 Cu.upf
ATOMIC_POSITIONS crystal
K 0.000 0.000 0.810
F 0.000 0.500 0.000
F 0.500 0.000 0.366
F 0.500 0.000 0.634
F 0.500 0.000 0.000
Cu 0.500 0.500 0.370
F 0.500 0.500 0.174
Cu 0.500 0.500 0.000
F 0.000 0.500 0.634
F 0.500 0.500 0.826
F 0.000 0.500 0.366
Cu 0.500 0.500 0.630
K 0.000 0.000 0.190
CELL_PARAMETERS angstrom
3.926 0.000 0.000
0.000 3.926 0.000
0.000 0.000 11.491
```

Total moment: 0.93 μB per cell
Electronic total energy: -4.19 eV per atom
Energy relative to the elements, uncorrected: -1929 meV per atom
Fermi-level density of states: 5.3 states/eV/cell
SG: No. 123



An optimized crystal structure of UIF. Source: Alexandria, functional GGA-PBE. Values from VASP.

```
&SYSTEM
  ibrav = 0, nat = 6, ntyp = 3
/
ATOMIC_SPECIES
I 126.90 I.upf
U 238.03 U.upf
F 19.00 F.upf
ATOMIC_POSITIONS crystal
I 0.315 0.444 0.927
U 0.197 0.180 0.427
U 0.732 0.324 0.212
I 0.993 0.761 0.252
F 0.738 0.950 0.573
F 0.049 0.281 0.622
CELL_PARAMETERS angstrom
3.605 0.000 0.000
1.802 5.741 0.330
1.802 2.779 8.608
```

Total moment: 0.70 μB per cell
Electronic total energy: -6.48 eV per atom
Energy relative to the elements, uncorrected: -1577 meV per atom
Fermi-level density of states: 6.3 states/eV/cell
SG: No. 8



An optimized crystal structure of ScZnCdAs2. Source: Alexandria, functional GGA-PBE. Values from VASP.

```
&SYSTEM
  ibrav = 0, nat = 5, ntyp = 4
/
ATOMIC_SPECIES
Cd 112.41 Cd.upf
Zn 65.41 Zn.upf
As 74.92 As.upf
Sc 44.96 Sc.upf
ATOMIC_POSITIONS crystal
Cd 0.500 0.500 0.500
Zn 0.000 0.000 0.000
As 0.000 0.000 0.500
Sc 0.000 0.500 0.000
As 0.500 0.000 0.000
CELL_PARAMETERS angstrom
-0.402 3.712 3.021
-3.042 -2.808 3.046
3.851 -1.550 2.417
```

Total moment: 0.00 μB per cell
Electronic total energy: -3.25 eV per atom
DFT formation energy: 0.3170 eV/atom
Fermi-level density of states: 3.5 states/eV/cell
SG: No. 123



An optimized crystal structure of Sc3PIr. Source: Alexandria, functional GGA-PBE. Values from VASP.

```
&SYSTEM
  ibrav = 0, nat = 5, ntyp = 3
/
ATOMIC_SPECIES
Sc 44.96 Sc.upf
Ir 192.22 Ir.upf
P 30.97 P.upf
ATOMIC_POSITIONS crystal
Sc 0.500 0.000 0.000
Sc 0.000 0.000 0.500
Ir 0.000 0.000 0.000
P 0.500 0.500 0.500
Sc 0.000 0.500 0.000
CELL_PARAMETERS angstrom
-3.110 3.177 2.234
-2.794 -3.818 1.540
2.698 -0.292 4.170
```

Total moment: 0.00 μB per cell
Electronic total energy: -6.86 eV per atom
DFT formation energy: -0.2096 eV/atom
Fermi-level density of states: 6.6 states/eV/cell
SG: No. 221